i:
Computed, not measured: a relaxed CdSbTe2P crystal at the PBE-GGA level of DFT. Values from VASP.

- symmetry = No. 123
- mass density (g/cm³) = 5.83
- magnetization (μB per atom) = 0.00

Geometry as Quantum ESPRESSO input:
```
&SYSTEM
  ibrav = 0, nat = 5, ntyp = 4
/
ATOMIC_SPECIES
Cd 112.41 Cd.upf
Sb 121.76 Sb.upf
Te 127.60 Te.upf
P 30.97 P.upf
CELL_PARAMETERS angstrom
5.371 0.000 0.000
0.000 5.371 0.000
0.000 0.000 5.135
ATOMIC_POSITIONS crystal
Cd 0.000 0.000 0.000
Sb 0.500 0.500 0.000
Te 0.000 0.500 0.500
Te 0.500 0.000 0.500
P 0.500 0.500 0.500
```

ii:
Computed, not measured: a relaxed CdSbTe2P crystal at the PBE-GGA level of DFT. Values from VASP.

- symmetry = No. 123
- mass density (g/cm³) = 5.18
- magnetization (μB per atom) = 0.14

Geometry as Quantum ESPRESSO input:
```
&SYSTEM
  ibrav = 0, nat = 5, ntyp = 4
/
ATOMIC_SPECIES
Cd 112.41 Cd.upf
Sb 121.76 Sb.upf
Te 127.60 Te.upf
P 30.97 P.upf
CELL_PARAMETERS angstrom
5.511 0.000 0.000
0.000 5.511 0.000
0.000 0.000 5.493
ATOMIC_POSITIONS crystal
Cd 0.000 0.000 0.000
Sb 0.000 0.000 0.500
Te 0.000 0.500 0.000
Te 0.500 0.000 0.000
P 0.500 0.500 0.500
```

The structure with the greatest stability is i.

i:
Computed, not measured: a relaxed ScCdP3 crystal at the PBE-GGA level of DFT. Values from VASP.

- symmetry = No. 221
- mass density (g/cm³) = 3.47
- magnetization (μB per atom) = 0.00

Geometry as Quantum ESPRESSO input:
```
&SYSTEM
  ibrav = 0, nat = 5, ntyp = 3
/
ATOMIC_SPECIES
Sc 44.96 Sc.upf
Cd 112.41 Cd.upf
P 30.97 P.upf
CELL_PARAMETERS angstrom
4.928 0.000 0.000
0.000 4.928 0.000
0.000 0.000 4.928
ATOMIC_POSITIONS crystal
Sc 0.000 0.000 0.000
Cd 0.500 0.500 0.500
P 0.000 0.000 0.500
P 0.000 0.500 0.000
P 0.500 0.000 0.000
```

ii:
Computed, not measured: a relaxed ScCdP3 crystal at the PBE-GGA level of DFT. Values from VASP.

- symmetry = No. 221
- mass density (g/cm³) = 3.56
- magnetization (μB per atom) = 0.00

Geometry as Quantum ESPRESSO input:
```
&SYSTEM
  ibrav = 0, nat = 5, ntyp = 3
/
ATOMIC_SPECIES
Sc 44.96 Sc.upf
Cd 112.41 Cd.upf
P 30.97 P.upf
CELL_PARAMETERS angstrom
4.886 0.000 0.000
0.000 4.886 0.000
0.000 0.000 4.886
ATOMIC_POSITIONS crystal
Sc 0.000 0.000 0.000
Cd 0.500 0.500 0.500
P 0.000 0.500 0.500
P 0.500 0.000 0.500
P 0.500 0.500 0.000
```

The structure with the greatest stability is i.

i:
Computed, not measured: a relaxed CdP2Se crystal at the PBE-GGA level of DFT. Values from VASP.

- symmetry = No. 160
- mass density (g/cm³) = 3.88
- magnetization (μB per atom) = 0.00

Geometry as Quantum ESPRESSO input:
```
&SYSTEM
  ibrav = 0, nat = 4, ntyp = 3
/
ATOMIC_SPECIES
Cd 112.41 Cd.upf
P 30.97 P.upf
Se 78.96 Se.upf
CELL_PARAMETERS angstrom
1.613 0.931 12.043
-1.613 0.931 12.043
0.000 -1.863 12.043
ATOMIC_POSITIONS crystal
Cd 0.000 0.000 0.000
P 0.213 0.213 0.213
P 0.512 0.512 0.512
Se 0.729 0.729 0.729
```

ii:
Computed, not measured: a relaxed CdP2Se crystal at the PBE-GGA level of DFT. Values from VASP.

- symmetry = No. 47
- mass density (g/cm³) = 5.47
- magnetization (μB per atom) = 0.00

Geometry as Quantum ESPRESSO input:
```
&SYSTEM
  ibrav = 0, nat = 4, ntyp = 3
/
ATOMIC_SPECIES
Cd 112.41 Cd.upf
P 30.97 P.upf
Se 78.96 Se.upf
CELL_PARAMETERS angstrom
3.384 0.000 0.000
0.000 4.251 0.000
0.000 0.000 5.346
ATOMIC_POSITIONS crystal
Cd 0.000 0.000 0.000
P 0.000 0.500 0.500
P 0.500 0.500 0.000
Se 0.500 0.000 0.500
```

iii:
Computed, not measured: a relaxed CdP2Se crystal at the PBE-GGA level of DFT. Values from VASP.

- symmetry = No. 166
- mass density (g/cm³) = 5.34
- magnetization (μB per atom) = 0.00

Geometry as Quantum ESPRESSO input:
```
&SYSTEM
  ibrav = 0, nat = 4, ntyp = 3
/
ATOMIC_SPECIES
Cd 112.41 Cd.upf
P 30.97 P.upf
Se 78.96 Se.upf
CELL_PARAMETERS angstrom
1.457 0.841 10.711
-1.457 0.841 10.711
0.000 -1.682 10.711
ATOMIC_POSITIONS crystal
Cd 0.000 0.000 0.000
P 0.261 0.261 0.261
P 0.739 0.739 0.739
Se 0.500 0.500 0.500
```

The structure with the greatest stability is i.

i:
Computed, not measured: a relaxed CdP2Se crystal at the PBE-GGA level of DFT. Values from VASP.

- symmetry = No. 35
- mass density (g/cm³) = 4.92
- magnetization (μB per atom) = 0.00

Geometry as Quantum ESPRESSO input:
```
&SYSTEM
  ibrav = 0, nat = 4, ntyp = 3
/
ATOMIC_SPECIES
Cd 112.41 Cd.upf
P 30.97 P.upf
Se 78.96 Se.upf
CELL_PARAMETERS angstrom
1.586 -2.440 0.000
1.586 2.440 0.000
0.000 0.000 11.042
ATOMIC_POSITIONS crystal
Cd 0.000 0.000 0.000
P 0.000 0.000 0.448
P 0.500 0.500 0.305
Se 0.500 0.500 0.740
```

ii:
Computed, not measured: a relaxed CdP2Se crystal at the PBE-GGA level of DFT. Values from VASP.

- symmetry = No. 71
- mass density (g/cm³) = 5.54
- magnetization (μB per atom) = 0.00

Geometry as Quantum ESPRESSO input:
```
&SYSTEM
  ibrav = 0, nat = 4, ntyp = 3
/
ATOMIC_SPECIES
Cd 112.41 Cd.upf
P 30.97 P.upf
Se 78.96 Se.upf
CELL_PARAMETERS angstrom
-1.716 2.518 4.392
1.716 -2.518 4.392
1.716 2.518 -4.392
ATOMIC_POSITIONS crystal
Cd 0.000 0.000 0.000
P 0.275 0.775 0.500
P 0.725 0.225 0.500
Se 0.500 0.500 0.000
```

iii:
Computed, not measured: a relaxed CdP2Se crystal at the PBE-GGA level of DFT. Values from VASP.

- symmetry = No. 122
- mass density (g/cm³) = 4.12
- magnetization (μB per atom) = 0.00

Geometry as Quantum ESPRESSO input:
```
&SYSTEM
  ibrav = 0, nat = 8, ntyp = 3
/
ATOMIC_SPECIES
Cd 112.41 Cd.upf
P 30.97 P.upf
Se 78.96 Se.upf
CELL_PARAMETERS angstrom
-2.817 2.817 6.434
2.817 -2.817 6.434
2.817 2.817 -6.434
ATOMIC_POSITIONS crystal
Cd 0.000 0.000 0.000
Cd 0.750 0.250 0.500
P 0.145 0.625 0.020
P 0.375 0.395 0.520
P 0.605 0.125 0.980
P 0.875 0.855 0.480
Se 0.250 0.750 0.500
Se 0.500 0.500 0.000
```

The structure with the greatest stability is iii.

i:
Computed, not measured: a relaxed CdP2Se crystal at the PBE-GGA level of DFT. Values from VASP.

- symmetry = No. 139
- mass density (g/cm³) = 3.84
- magnetization (μB per atom) = 0.00

Geometry as Quantum ESPRESSO input:
```
&SYSTEM
  ibrav = 0, nat = 4, ntyp = 3
/
ATOMIC_SPECIES
Cd 112.41 Cd.upf
P 30.97 P.upf
Se 78.96 Se.upf
CELL_PARAMETERS angstrom
-1.803 1.803 8.417
1.803 -1.803 8.417
1.803 1.803 -8.417
ATOMIC_POSITIONS crystal
Cd 0.000 0.000 0.000
P 0.250 0.750 0.500
P 0.750 0.250 0.500
Se 0.500 0.500 0.000
```

ii:
Computed, not measured: a relaxed CdP2Se crystal at the PBE-GGA level of DFT. Values from VASP.

- symmetry = No. 12
- mass density (g/cm³) = 4.57
- magnetization (μB per atom) = 0.00

Geometry as Quantum ESPRESSO input:
```
&SYSTEM
  ibrav = 0, nat = 4, ntyp = 3
/
ATOMIC_SPECIES
Cd 112.41 Cd.upf
P 30.97 P.upf
Se 78.96 Se.upf
CELL_PARAMETERS angstrom
6.321 -1.675 0.000
6.321 1.675 0.000
-0.174 0.000 4.347
ATOMIC_POSITIONS crystal
Cd 0.000 0.000 0.000
P 0.229 0.229 0.146
P 0.771 0.771 0.854
Se 0.500 0.500 0.500
```

iii:
Computed, not measured: a relaxed CdP2Se crystal at the PBE-GGA level of DFT. Values from VASP.

- symmetry = No. 123
- mass density (g/cm³) = 3.81
- magnetization (μB per atom) = 0.00

Geometry as Quantum ESPRESSO input:
```
&SYSTEM
  ibrav = 0, nat = 4, ntyp = 3
/
ATOMIC_SPECIES
Cd 112.41 Cd.upf
P 30.97 P.upf
Se 78.96 Se.upf
CELL_PARAMETERS angstrom
3.603 0.000 0.000
0.000 3.603 0.000
0.000 0.000 8.504
ATOMIC_POSITIONS crystal
Cd 0.000 0.000 0.000
P 0.000 0.500 0.500
P 0.500 0.000 0.500
Se 0.500 0.500 0.000
```

iv:
Computed, not measured: a relaxed CdP2Se crystal at the PBE-GGA level of DFT. Values from VASP.

- symmetry = No. 99
- mass density (g/cm³) = 5.08
- magnetization (μB per atom) = 0.00

Geometry as Quantum ESPRESSO input:
```
&SYSTEM
  ibrav = 0, nat = 4, ntyp = 3
/
ATOMIC_SPECIES
Cd 112.41 Cd.upf
P 30.97 P.upf
Se 78.96 Se.upf
CELL_PARAMETERS angstrom
3.676 0.000 0.000
0.000 3.676 0.000
0.000 0.000 6.124
ATOMIC_POSITIONS crystal
Cd 0.000 0.000 0.000
P 0.000 0.000 0.417
P 0.500 0.500 0.455
Se 0.500 0.500 0.831
```

The structure with the greatest stability is iv.

i:
Computed, not measured: a relaxed CdSi3P crystal at the PBE-GGA level of DFT. Values from VASP.

- symmetry = No. 221
- mass density (g/cm³) = 3.12
- magnetization (μB per atom) = 0.00

Geometry as Quantum ESPRESSO input:
```
&SYSTEM
  ibrav = 0, nat = 5, ntyp = 3
/
ATOMIC_SPECIES
Cd 112.41 Cd.upf
Si 28.09 Si.upf
P 30.97 P.upf
CELL_PARAMETERS angstrom
4.949 0.000 0.000
0.000 4.949 0.000
0.000 0.000 4.949
ATOMIC_POSITIONS crystal
Cd 0.000 0.000 0.000
Si 0.000 0.000 0.500
Si 0.000 0.500 0.000
Si 0.500 0.000 0.000
P 0.500 0.500 0.500
```

ii:
Computed, not measured: a relaxed CdSi3P crystal at the PBE-GGA level of DFT. Values from VASP.

- symmetry = No. 221
- mass density (g/cm³) = 3.87
- magnetization (μB per atom) = 0.00

Geometry as Quantum ESPRESSO input:
```
&SYSTEM
  ibrav = 0, nat = 5, ntyp = 3
/
ATOMIC_SPECIES
Cd 112.41 Cd.upf
Si 28.09 Si.upf
P 30.97 P.upf
CELL_PARAMETERS angstrom
4.605 0.000 0.000
0.000 4.605 0.000
0.000 0.000 4.605
ATOMIC_POSITIONS crystal
Cd 0.000 0.000 0.000
Si 0.000 0.500 0.500
Si 0.500 0.000 0.500
Si 0.500 0.500 0.000
P 0.500 0.500 0.500
```

The structure with the greatest stability is ii.